Material: BaLi3Cd
Method: DFT, PBE-GGA
State: relaxed

Cell: 6.165 6.165 6.165 Å, 90.00 90.00 90.00°
Each line ends with the local moment (μB).
Sites, in units of the cell vectors:
Ba: 0.000 0.000 0.000  0.27
Li: 0.000 0.500 0.000  0.02
Li: 0.500 0.000 0.000  0.02
Li: 0.000 0.000 0.500  0.03
Cd: 0.500 0.500 0.500  0.01

Output
**Energy of formation**: 0.914 eV/atom
**Energy**: -0.802 eV per atom
**E above lowest polymorph**: 4.77 eV/f.u.
**Space group**: Pm-3m, No. 221


Material: Ba2Li7Cd
Method: DFT, PBE-GGA
State: relaxed

Cell: 5.154 5.154 11.207 Å, 90.00 90.00 90.00°
Sites, in units of the cell vectors:
Li: 0.500 0.000 0.108
Li: 0.500 0.000 0.375
Li: 0.000 0.000 0.500
Li: 0.000 0.500 0.625
Li: 0.000 0.500 0.892
Li: 0.000 0.000 0.000
Li: 0.500 0.500 0.500
Cd: 0.500 0.500 0.000
Ba: 0.000 0.500 0.242
Ba: 0.500 0.000 0.758

Output
**Energy of formation**: -0.015 eV/atom
**Energy**: -1.831 eV per atom
**Space group**: P-4m2, No. 115